A plane-wave DFT calculation with PBE was carried out for a relaxed TiBOsCl2 crystal.

Properties
The uncorrected formation energy is 1.086 eV per atom. Its energy is -4.813 eV/atom. As for the magnetization: 0.0009 μB/atom.

Geometry as CIF:
```
data_TiBOsCl2
_cell_length_a 4.121
_cell_length_b 4.121
_cell_length_c 4.618
_cell_angle_alpha 90.00
_cell_angle_beta 90.00
_cell_angle_gamma 90.00
_symmetry_space_group_name_H-M 'P 4/m m m'
_symmetry_Int_Tables_number 123
_symmetry_space_group_name_Hall '-P 4 2'
loop_
_atom_site_label
_atom_site_type_symbol
_atom_site_fract_x
_atom_site_fract_y
_atom_site_fract_z
Ti1 Ti 0.000 0.000 0.000
B1 B 0.500 0.500 0.500
Os1 Os 0.500 0.500 0.000
Cl1 Cl 0.000 0.500 0.500
```